This record from Alexandria via LeMat-Bulk describes a relaxed GeRuS2 crystal. The functional is PBE.

Lattice parameters (Å, degrees): 3.4720 3.4720 23.0301 90.00 90.00 120.00
Positions (direct):
Ge (0.0000, 0.0000, 0.0000)
Ge (0.3333, 0.6667, 0.6667)
Ge (0.6667, 0.3333, 0.3333)
Ru (0.0000, 0.0000, 0.5000)
Ru (0.3333, 0.6667, 0.1667)
Ru (0.6667, 0.3333, 0.8333)
S (0.0000, 0.0000, 0.1122)
S (0.0000, 0.0000, 0.8878)
S (0.3333, 0.6667, 0.5545)
S (0.3333, 0.6667, 0.7789)
S (0.6667, 0.3333, 0.2211)
S (0.6667, 0.3333, 0.4455)

Calculated values
Space-group type: R-3m (166)
VASP energy, eV/f.u.: -22.26
Energy relative to the elements, uncorrected, eV/f.u.: -0.1
Density, g/cm³: 4.9
Density of states at the Fermi level, states/eV/cell: 14.015

This record from Alexandria via LeMat-Bulk describes a relaxed AcNdOs4 crystal. The functional is PBE.

Lattice parameters (Å, degrees): 5.5133 5.5133 5.5133 60.00 60.00 60.00
Positions (direct):
Ac (0.0000, 0.0000, 0.0000)
Nd (0.2500, 0.2500, 0.2500)
Os (0.1263, 0.6246, 0.6246)
Os (0.6246, 0.1263, 0.6246)
Os (0.6246, 0.6246, 0.1263)
Os (0.6246, 0.6246, 0.6246)

Calculated values
Space-group type: F-43m (216)
VASP energy, eV/f.u.: -53.32
Calculated formation energy, kJ/mol of formula units: 46
Density, g/cm³: 15.9
Density of states at the Fermi level, states/eV/cell: 9.505

This record from Alexandria via LeMat-Bulk describes a relaxed Y3HoTm2P6 crystal. The functional is PBE.

Lattice parameters (Å, degrees): 6.9064 6.9064 6.9068 99.58 99.58 119.99
Positions (direct):
Y (0.0000, 0.0000, 0.0000)
Y (0.3336, 0.6664, 0.0000)
Y (0.6664, 0.3336, 0.0000)
Ho (0.5000, 0.5000, 0.5000)
Tm (0.1667, 0.8333, 0.5000)
Tm (0.8333, 0.1667, 0.5000)
P (0.0832, 0.4178, 0.2535)
P (0.2475, 0.2475, 0.7464)
P (0.4178, 0.0832, 0.2535)
P (0.5822, 0.9168, 0.7465)
P (0.7525, 0.7525, 0.2536)
P (0.9168, 0.5822, 0.7465)

Calculated values
Space-group type: C2/m (12)
VASP energy, eV/f.u.: -84.78
Calculated formation energy, kJ/mol of formula units: -1873
Density, g/cm³: 5.9
Density of states at the Fermi level, states/eV/cell: 1.733